(1)
! ScFe2Hg (PBE, relaxed); values from VASP
! Space-group type: No. 166
! Calculated density in g cm⁻³: 8.64
! Total energy in eV/atom: -5.509
! Energy of formation from the pure elements in eV/atom: 0.38
&SYSTEM
  ibrav = 0, nat = 12, ntyp = 3
/
ATOMIC_SPECIES
Sc 44.96 Sc.upf
Fe 55.84 Fe.upf
Hg 200.59 Hg.upf
CELL_PARAMETERS angstrom
2.9757 0.0000 0.0000
-1.4878 2.5770 0.0000
0.0000 0.0000 26.8667
ATOMIC_POSITIONS crystal
Sc 0.0000 0.0000 0.0000
Sc 0.3333 0.6667 0.6667
Sc 0.6667 0.3333 0.3333
Fe 0.0000 0.0000 0.2515
Fe 0.0000 0.0000 0.7485
Fe 0.3333 0.6667 0.4152
Fe 0.3333 0.6667 0.9181
Fe 0.6667 0.3333 0.0819
Fe 0.6667 0.3333 0.5848
Hg 0.0000 0.0000 0.5000
Hg 0.3333 0.6667 0.1667
Hg 0.6667 0.3333 0.8333



(2)
! ScFe2Hg (PBE, relaxed); values from VASP
! Space-group type: No. 12
! Calculated density in g cm⁻³: 9.04
! Total energy in eV/atom: -5.602
! Energy of formation from the pure elements in eV/atom: 0.29
&SYSTEM
  ibrav = 0, nat = 8, ntyp = 3
/
ATOMIC_SPECIES
Sc 44.96 Sc.upf
Fe 55.84 Fe.upf
Hg 200.59 Hg.upf
CELL_PARAMETERS angstrom
5.6189 0.0000 0.0000
0.0000 8.8490 0.0000
-1.1133 0.0000 2.6406
ATOMIC_POSITIONS crystal
Sc 0.0000 0.0000 0.0000
Sc 0.5000 0.5000 0.0000
Fe 0.2500 0.2500 0.5000
Fe 0.2500 0.7500 0.5000
Fe 0.7500 0.2500 0.5000
Fe 0.7500 0.7500 0.5000
Hg 0.0000 0.5000 0.0000
Hg 0.5000 0.0000 0.0000



(3)
! ScFe2Hg (PBE, relaxed); values from VASP
! Space-group type: No. 123
! Calculated density in g cm⁻³: 9.41
! Total energy in eV/atom: -5.759
! Energy of formation from the pure elements in eV/atom: 0.13
&SYSTEM
  ibrav = 0, nat = 4, ntyp = 3
/
ATOMIC_SPECIES
Sc 44.96 Sc.upf
Fe 55.84 Fe.upf
Hg 200.59 Hg.upf
CELL_PARAMETERS angstrom
4.0590 0.0000 0.0000
0.0000 4.0590 0.0000
0.0000 0.0000 3.8279
ATOMIC_POSITIONS crystal
Sc 0.0000 0.0000 0.0000
Fe 0.0000 0.5000 0.5000
Fe 0.5000 0.0000 0.5000
Hg 0.5000 0.5000 0.0000



(4)
! ScFe2Hg (PBE, relaxed); values from VASP
! Space-group type: No. 139
! Calculated density in g cm⁻³: 9.14
! Total energy in eV/atom: -5.755
! Energy of formation from the pure elements in eV/atom: 0.13
&SYSTEM
  ibrav = 0, nat = 8, ntyp = 3
/
ATOMIC_SPECIES
Sc 44.96 Sc.upf
Fe 55.84 Fe.upf
Hg 200.59 Hg.upf
CELL_PARAMETERS angstrom
3.9692 0.0000 0.0000
0.0000 3.9692 0.0000
0.0000 0.0000 8.2360
ATOMIC_POSITIONS crystal
Sc 0.0000 0.0000 0.0000
Sc 0.5000 0.5000 0.5000
Fe 0.0000 0.5000 0.2500
Fe 0.0000 0.5000 0.7500
Fe 0.5000 0.0000 0.2500
Fe 0.5000 0.0000 0.7500
Hg 0.0000 0.0000 0.5000
Hg 0.5000 0.5000 0.0000